No. 1
First-principles (PBE) data for a geometry-optimized SrAc2Dy structure, as listed in the Alexandria database.

```
SrAc2Dy
1.0
3.9677 0.0000 0.0000
0.0000 3.9677 0.0000
0.0000 0.0000 10.9411
Ac Sr Dy
2 1 1
Cartesian
0.0000 0.0000 2.4388 Ac
0.0000 0.0000 8.5023 Ac
1.9838 1.9838 5.4705 Sr
1.9838 1.9838 0.0000 Dy
```

Properties
- E above lowest polymorph: 0.000 eV/f.u.
- Formation energy from the elements: 0.066 eV/atom



No. 2
First-principles (PBE) data for a geometry-optimized AsRh2Cl structure, as listed in the Alexandria database.

```
AsRh2Cl
1.0
2.9525 0.0000 0.0000
0.0000 5.4312 0.0000
0.0000 0.0000 4.0733
Cl Rh As
1 2 1
Cartesian
0.0000 2.7156 2.0366 Cl
1.4762 2.7156 0.0000 Rh
0.0000 0.0000 0.0000 Rh
1.4762 0.0000 2.0366 As
```

Properties
- E above lowest polymorph: 1.916 eV/f.u.
- Formation energy without anion corrections: 0.276 eV/atom